DFT (PBE with a Hubbard U) results for a geometry-optimized Sr4Fe3NiO12 structure.

Properties
The energy comes out at -6.088 eV/atom. The value obtained for the spin magnetization is 13.56 μB/f.u.

```
data_Sr4Fe3NiO12
_symmetry_space_group_name_H-M 'I m -3 m'
_symmetry_Int_Tables_number 229
_symmetry_space_group_name_Hall '-I 4 2 3'
_cell_length_a 7.808
_cell_length_b 7.808
_cell_length_c 7.808
_cell_angle_alpha 90.00
_cell_angle_beta 90.00
_cell_angle_gamma 90.00
loop_
_atom_site_label
_atom_site_fract_x
_atom_site_fract_y
_atom_site_fract_z
Sr1 0.250 0.250 0.250
Fe1 0.000 0.000 0.500
Ni1 0.000 0.000 0.000
O1 0.000 0.000 0.255
O2 0.000 0.250 0.500
```